Compound: CrCoTcNi
Source: Alexandria via LeMat-Bulk
Functional: GGA-PBE
Structure: optimized geometry

It has space group F-43m (No. 216), with a = 5.766 Å, b = 5.766 Å, c = 5.766 Å, α = 90.00°, β = 90.00° and γ = 90.00°. The inequivalent atoms are Cr at (0.000, 0.000, 0.000), Co at (0.000, 0.000, 0.500), Tc at (0.250, 0.250, 0.750) and Ni at (0.250, 0.250, 0.250).

The calculation puts the energy of formation at 0.165 eV/atom. The size of the total moment is 0.0 μB/f.u.

Compound: Ac2Be3Cu12Pd
Source: Alexandria via LeMat-Bulk
Functional: GGA-PBE
Structure: optimized geometry

It has space group R-3m (No. 166, hexagonal axes), with a = 7.5911 Å, b = 7.5911 Å, c = 18.8798 Å, α = 90.00°, β = 90.00° and γ = 120.00°. The inequivalent atoms are Ac at (0.0000, 0.0000, 0.1111), Be at (0.0000, 0.5000, 0.0000), Cu at (0.0027, 0.5014, 0.8887), Cu at (0.0450, 0.5225, 0.3547) and Pd at (0.0000, 0.0000, 0.5000).

The calculation puts the energy of formation at 0.298 eV/atom. The size of the total moment is 0.0 μB/f.u.

Compound: LiCu2Au3
Source: Alexandria via LeMat-Bulk
Functional: GGA-PBE
Structure: optimized geometry

It has space group Cmmm (No. 65), with a = 4.340 Å, b = 13.022 Å, c = 6.401 Å, α = 90.00°, β = 90.00° and γ = 90.00°. The inequivalent atoms are Li at (0.000, 0.164, 0.000), Cu at (0.000, 0.169, 0.500), Cu at (0.000, 0.500, 0.000), Cu at (0.000, 0.500, 0.500), Au at (0.000, 0.000, 0.253) and Au at (0.000, 0.333, 0.247).

Its excess energy over the best structure of this formula in the dataset is 0 meV/atom. The calculation puts the energy of formation at -0.215 eV/atom. The size of the total moment is 0.0 μB/f.u.

Compound: ZrS2Cl
Source: Alexandria via LeMat-Bulk
Functional: GGA-PBE
Structure: optimized geometry

It has space group P2_1/m (No. 11), with a = 3.527 Å, b = 8.212 Å, c = 7.206 Å, α = 90.00°, β = 102.99° and γ = 90.00°. The inequivalent atoms are Zr at (0.227, 0.250, 0.060), S at (0.365, 0.585, 0.128) and Cl at (0.127, 0.750, 0.665).

The raw formation energy is -5.1 eV/f.u. Its excess energy over the best structure of this formula in the dataset is 0 meV/atom. The size of the total moment is 0.0 μB/f.u.

Question: What is the size of the total moment in the fourth record?
Answer: 0.0 μB/f.u.